No. 1
{"formula": "MnB2Br8", "functional": "PBE", "state": "relaxed", "lattice": [[5.7848, -5.2883, 0.0000], [5.7848, 5.2883, 0.0000], [-0.5232, 0.0000, 5.9929]], "species": ["Mn", "B", "B", "Br", "Br", "Br", "Br", "Br", "Br", "Br", "Br"], "fractional_positions": [[0.0000, 0.0000, 0.0000], [0.2044, 0.2044, 0.6497], [0.7956, 0.7956, 0.3503], [0.0393, 0.7265, 0.2411], [0.1989, 0.1989, 0.3100], [0.2735, 0.9607, 0.7589], [0.3686, 0.3686, 0.7706], [0.6314, 0.6314, 0.2294], [0.7265, 0.0393, 0.2411], [0.8011, 0.8011, 0.6900], [0.9607, 0.2735, 0.7589]], "vol_a3_per_atom": 33.3, "final_energy_ev_per_atom": -3.78, "raw_formation_energy_mev_per_atom": -519}

---

No. 2
{"formula": "Mn2BBr", "functional": "PBE", "state": "relaxed", "lattice": [[-2.6350, 2.6350, 5.1562], [2.6350, -2.6350, 5.1562], [2.6350, 2.6350, -5.1562]], "species": ["Mn", "Mn", "Mn", "Mn", "B", "B", "Br", "Br"], "fractional_positions": [[0.0332, 0.6250, 0.9082], [0.3750, 0.2832, 0.4082], [0.7168, 0.1250, 0.0918], [0.8750, 0.9668, 0.5918], [0.0000, 0.0000, 0.0000], [0.7500, 0.2500, 0.5000], [0.2500, 0.7500, 0.5000], [0.5000, 0.5000, 0.0000]], "vol_a3_per_atom": 17.9, "final_energy_ev_per_atom": -6.25, "e_above_lowest_polymorph_kcal_per_mol_atoms": 0.00, "raw_formation_energy_mev_per_atom": 419}

---

No. 3
{"formula": "Mn2BMoBr", "functional": "PBE", "state": "relaxed", "lattice": [[4.0065, 0.0000, 0.0000], [0.0000, 4.0065, 0.0000], [0.0000, 0.0000, 4.9357]], "species": ["Mn", "Mn", "B", "Mo", "Br"], "fractional_positions": [[0.0000, 0.5000, 0.0000], [0.5000, 0.0000, 0.0000], [0.0000, 0.0000, 0.0000], [0.5000, 0.5000, 0.5000], [0.0000, 0.0000, 0.5000]], "vol_a3_per_atom": 15.8, "final_energy_ev_per_atom": -6.48, "raw_formation_energy_mev_per_atom": 1022}